Record 1
Material: ZrAgW2
Method: DFT, GGA-PBE
State: optimized geometry

ΔH_f (0 K) = 0.217 eV/atom
V = 71.4 Å³ per cell
DOS(E_F) = 3.44 states/eV/f.u.
total moment = 0.0 μB/cell
energy relative to the lowest polymorph listed for this composition = 0 meV per atom

abc: 2.830 2.830 9.463
angles: 90.00 90.00 109.68
Fractional positions:
Ag 0.500 0.500 0.761
W 0.000 0.000 0.012
W 0.500 0.500 0.236
Zr 0.000 0.000 0.491


Record 2
Material: ZrAgW2
Method: DFT, GGA-PBE
State: optimized geometry

ΔH_f (0 K) = 0.369 eV/atom
V = 71.2 Å³ per cell
DOS(E_F) = 4.25 states/eV/f.u.
total moment = 0.0 μB/cell
energy relative to the lowest polymorph listed for this composition = 152 meV per atom

abc: 4.654 4.654 4.654
angles: 120.02 120.02 89.96
Fractional positions:
Ag 0.750 0.250 0.500
W 0.000 0.000 0.000
W 0.250 0.750 0.500
Zr 0.500 0.500 0.000


Record 3
Material: ZrAg3W
Method: DFT, GGA-PBE
State: optimized geometry

ΔH_f (0 K) = 1.609 eV/atom
V = 122.0 Å³ per cell
DOS(E_F) = 5.59 states/eV/f.u.
total moment = 0.0 μB/cell
energy relative to the lowest polymorph listed for this composition = 0 meV per atom

abc: 4.959 4.959 4.959
angles: 90.00 90.00 90.00
Fractional positions:
Zr 0.500 0.500 0.500
Ag 0.000 0.500 0.000
Ag 0.000 0.000 0.500
Ag 0.500 0.000 0.000
W 0.000 0.000 0.000


Record 4
Material: ZrAgW2
Method: DFT, GGA-PBE
State: optimized geometry

ΔH_f (0 K) = 0.566 eV/atom
V = 71.7 Å³ per cell
DOS(E_F) = 3.74 states/eV/f.u.
total moment = 0.0 μB/cell
energy relative to the lowest polymorph listed for this composition = 349 meV per atom

abc: 10.402 10.402 10.402
angles: 15.68 15.68 15.68
Fractional positions:
Ag 0.750 0.750 0.750
W 0.004 0.004 0.004
W 0.496 0.496 0.496
Zr 0.250 0.250 0.250


Record 5
Material: ZrAgW2
Method: DFT, GGA-PBE
State: optimized geometry

ΔH_f (0 K) = 0.640 eV/atom
V = 71.4 Å³ per cell
DOS(E_F) = 4.22 states/eV/f.u.
total moment = 0.0 μB/cell
energy relative to the lowest polymorph listed for this composition = 423 meV per atom

abc: 3.460 3.460 5.964
angles: 90.00 90.00 90.00
Fractional positions:
Ag 0.500 0.500 0.750
W 0.000 0.000 0.984
W 0.000 0.000 0.516
Zr 0.500 0.500 0.250


Record 6
Material: ZrAgW2
Method: DFT, GGA-PBE
State: optimized geometry

ΔH_f (0 K) = 0.499 eV/atom
V = 71.9 Å³ per cell
DOS(E_F) = 5.30 states/eV/f.u.
total moment = 0.0 μB/cell
energy relative to the lowest polymorph listed for this composition = 282 meV per atom

abc: 5.333 5.333 5.333
angles: 136.11 136.11 63.82
Fractional positions:
Ag 0.750 0.250 0.500
W 0.000 0.000 0.000
W 0.500 0.500 0.000
Zr 0.250 0.750 0.500


Record 7
Material: ZrAgW
Method: DFT, GGA-PBE
State: optimized geometry

ΔH_f (0 K) = 1.126 eV/atom
V = 64.3 Å³ per cell
DOS(E_F) = 4.76 states/eV/f.u.
total moment = 0.0 μB/cell
energy relative to the lowest polymorph listed for this composition = 853 meV per atom

abc: 4.497 4.497 4.497
angles: 60.00 60.00 60.00
Fractional positions:
Ag 0.750 0.750 0.750
W 0.000 0.000 0.000
Zr 0.500 0.500 0.500


Record 8
Material: ZrAgW2
Method: DFT, GGA-PBE
State: optimized geometry

ΔH_f (0 K) = 0.409 eV/atom
V = 72.6 Å³ per cell
DOS(E_F) = 3.89 states/eV/f.u.
total moment = 0.0 μB/cell
energy relative to the lowest polymorph listed for this composition = 192 meV per atom

abc: 5.297 5.297 5.297
angles: 141.25 127.57 67.07
Fractional positions:
Ag 0.757 0.257 0.500
W 0.019 0.019 0.000
W 0.233 0.733 0.500
Zr 0.491 0.491 0.000


Among the records above, which one has the lowest V? ZrAgW


What did the sixth record say?
Material: ZrAgW2
Method: DFT, GGA-PBE
State: optimized geometry

ΔH_f (0 K) = 0.499 eV/atom
V = 71.9 Å³ per cell
DOS(E_F) = 5.30 states/eV/f.u.
total moment = 0.0 μB/cell
energy relative to the lowest polymorph listed for this composition = 282 meV per atom

abc: 5.333 5.333 5.333
angles: 136.11 136.11 63.82
Fractional positions:
Ag 0.750 0.250 0.500
W 0.000 0.000 0.000
W 0.500 0.500 0.000
Zr 0.250 0.750 0.500


Please write out number 1 again, unchanged.
Material: ZrAgW2
Method: DFT, GGA-PBE
State: optimized geometry

ΔH_f (0 K) = 0.217 eV/atom
V = 71.4 Å³ per cell
DOS(E_F) = 3.44 states/eV/f.u.
total moment = 0.0 μB/cell
energy relative to the lowest polymorph listed for this composition = 0 meV per atom

abc: 2.830 2.830 9.463
angles: 90.00 90.00 109.68
Fractional positions:
Ag 0.500 0.500 0.761
W 0.000 0.000 0.012
W 0.500 0.500 0.236
Zr 0.000 0.000 0.491